Entry 1:
# K5HfO5, relaxed, DFT PBE
data_K5HfO5
_cell_length_a 4.9309
_cell_length_b 6.6690
_cell_length_c 7.3099
_cell_angle_alpha 107.28
_cell_angle_beta 90.00
_cell_angle_gamma 111.70
_space_group_name_H-M_alt 'P 1'
_space_group_IT_number 1
_space_group_name_Hall 'P 1'
loop_
_atom_site_label
_atom_site_fract_x
_atom_site_fract_y
_atom_site_fract_z
O1 0.8780 0.7561 0.1382
K1 0.6909 0.3818 0.3105
K2 0.6772 0.3544 0.8517
O2 0.8728 0.7455 0.7313
K3 0.0000 0.0000 0.5000
K4 0.3228 0.6456 0.1483
O3 0.1220 0.2439 0.8618
O4 0.1272 0.2545 0.2687
O5 0.5000 0.0000 0.0000
Hf1 0.0000 0.0000 0.0000
K5 0.3091 0.6182 0.6895
# **Fermi-level density of states**: 0.815 states/eV per atom
# **ΔE_f (raw)**: -1731 meV/atom
# **E_tot**: -0.1980 Ha/atom
# **Theoretical density**: 3.6 g/cm³
# **SG**: No. 12
# **Crystal system**: monoclinic

***

Entry 2:
# KHfO3, relaxed, DFT PBE
data_KHfO3
_cell_length_a 7.6004
_cell_length_b 7.1781
_cell_length_c 3.2442
_cell_angle_alpha 76.86
_cell_angle_beta 110.05
_cell_angle_gamma 72.07
_space_group_name_H-M_alt 'P 1'
_space_group_IT_number 1
_space_group_name_Hall 'P 1'
loop_
_atom_site_label
_atom_site_fract_x
_atom_site_fract_y
_atom_site_fract_z
O1 0.9046 0.3135 0.0872
O2 0.1728 0.3910 0.7220
Hf1 0.1064 0.0987 0.8612
K1 0.4831 0.5993 0.8821
O3 0.7933 0.2130 0.8036
O4 0.1185 0.7998 0.9791
O5 0.2958 0.0128 0.5440
Hf2 0.9973 0.5934 0.9771
K2 0.5814 0.0728 0.2543
O6 0.8008 0.7116 0.2620
# **Fermi-level density of states**: 0.000 states/eV per atom
# **ΔE_f (raw)**: -2506 meV/atom
# **E_tot**: -0.2827 Ha/atom
# **Theoretical density**: 6.0 g/cm³
# **SG**: No. 1
# **Crystal system**: triclinic

***

Entry 3:
# KHfO3, relaxed, DFT PBE
data_KHfO3
_cell_length_a 3.6248
_cell_length_b 3.6248
_cell_length_c 13.9244
_cell_angle_alpha 90.00
_cell_angle_beta 90.00
_cell_angle_gamma 120.00
_space_group_name_H-M_alt 'P 1'
_space_group_IT_number 1
_space_group_name_Hall 'P 1'
loop_
_atom_site_label
_atom_site_fract_x
_atom_site_fract_y
_atom_site_fract_z
O1 0.3333 0.6667 0.9451
K1 0.3333 0.6667 0.7500
O2 0.6667 0.3333 0.4451
O3 0.0000 0.0000 0.2500
O4 0.3333 0.6667 0.5549
O5 0.0000 0.0000 0.7500
O6 0.6667 0.3333 0.0549
Hf1 0.0000 0.0000 0.0000
K2 0.6667 0.3333 0.2500
Hf2 0.0000 0.0000 0.5000
# **Fermi-level density of states**: 0.368 states/eV per atom
# **ΔE_f (raw)**: -1676 meV/atom
# **E_tot**: -0.2521 Ha/atom
# **Theoretical density**: 5.6 g/cm³
# **SG**: No. 194
# **Crystal system**: hexagonal

***

Entry 4:
# K3HfO4, relaxed, DFT PBE
data_K3HfO4
_cell_length_a 5.6998
_cell_length_b 5.6998
_cell_length_c 5.6998
_cell_angle_alpha 106.18
_cell_angle_beta 106.18
_cell_angle_gamma 106.18
_space_group_name_H-M_alt 'P 1'
_space_group_IT_number 1
_space_group_name_Hall 'P 1'
loop_
_atom_site_label
_atom_site_fract_x
_atom_site_fract_y
_atom_site_fract_z
O1 0.2177 0.2177 0.5557
O2 0.9008 0.9008 0.9008
O3 0.2177 0.5557 0.2177
K1 0.3618 0.7714 0.7713
O4 0.5557 0.2177 0.2177
Hf1 0.2036 0.2036 0.2036
K2 0.7713 0.3618 0.7714
K3 0.7714 0.7713 0.3618
# **Fermi-level density of states**: 1.279 states/eV per atom
# **ΔE_f (raw)**: -1949 meV/atom
# **E_tot**: -0.2236 Ha/atom
# **Theoretical density**: 3.8 g/cm³
# **SG**: No. 160
# **Crystal system**: trigonal

***

Entry 5:
# K14Hf2O9, relaxed, DFT PBE
data_K14Hf2O9
_cell_length_a 8.5291
_cell_length_b 8.5291
_cell_length_c 10.3710
_cell_angle_alpha 90.00
_cell_angle_beta 90.00
_cell_angle_gamma 120.00
_space_group_name_H-M_alt 'P 1'
_space_group_IT_number 1
_space_group_name_Hall 'P 1'
loop_
_atom_site_label
_atom_site_fract_x
_atom_site_fract_y
_atom_site_fract_z
O1 0.8640 0.5672 0.6734
K1 0.0557 0.3810 0.5877
O2 0.4328 0.2968 0.6734
K2 0.6802 0.6239 0.0938
K3 0.3198 0.3761 0.9062
O3 0.2968 0.8640 0.3266
K4 0.6239 0.9438 0.9062
K5 0.3252 0.9443 0.5877
K6 0.6190 0.6748 0.5877
K7 0.0000 0.0000 0.2434
O4 0.0000 0.0000 0.0000
K8 0.3761 0.0562 0.0938
K9 0.9438 0.3198 0.0938
O5 0.7032 0.1360 0.6734
Hf1 0.3333 0.6667 0.2602
K10 0.6748 0.0557 0.4123
O6 0.6667 0.3333 0.9314
K11 0.0562 0.6802 0.9062
O7 0.5672 0.7032 0.3266
K12 0.3810 0.3252 0.4123
O8 0.1360 0.4328 0.3266
K13 0.0000 0.0000 0.7566
Hf2 0.6667 0.3333 0.7398
O9 0.3333 0.6667 0.0686
K14 0.9443 0.6190 0.4123
# **Fermi-level density of states**: 0.230 states/eV per atom
# **ΔE_f (raw)**: -1479 meV/atom
# **E_tot**: -0.1718 Ha/atom
# **Theoretical density**: 2.7 g/cm³
# **SG**: No. 147
# **Crystal system**: trigonal

***

Entry 6:
# KHfOsO6, relaxed, DFT PBE
data_KHfOsO6
_cell_length_a 7.5263
_cell_length_b 7.3303
_cell_length_c 7.4696
_cell_angle_alpha 119.38
_cell_angle_beta 120.25
_cell_angle_gamma 90.00
_space_group_name_H-M_alt 'P 1'
_space_group_IT_number 1
_space_group_name_Hall 'P 1'
loop_
_atom_site_label
_atom_site_fract_x
_atom_site_fract_y
_atom_site_fract_z
Os1 0.5000 0.0000 0.0000
O1 0.2031 0.3309 0.7592
O2 0.5561 0.3309 0.7592
Os2 0.5000 0.5000 0.0000
O3 0.4494 0.6994 0.8989
O4 0.4439 0.0717 0.2408
O5 0.1767 0.9267 0.3533
O6 0.5561 0.9283 0.7592
Hf1 0.0000 0.0000 0.5000
Hf2 0.5000 0.0000 0.5000
K1 0.9068 0.6568 0.8137
O7 0.4439 0.6691 0.2408
O8 0.5506 0.3006 0.1011
O9 0.7969 0.6691 0.2408
K2 0.0932 0.3432 0.1863
O10 0.8233 0.0733 0.6467
O11 0.2031 0.9283 0.7592
O12 0.7969 0.0717 0.2408
# **Fermi-level density of states**: 0.289 states/eV per atom
# **ΔE_f (raw)**: -1926 meV/atom
# **E_tot**: -0.2832 Ha/atom
# **Theoretical density**: 5.7 g/cm³
# **SG**: No. 74
# **Crystal system**: orthorhombic

***

Entry 7:
# KHfPO2, relaxed, DFT PBE
data_KHfPO2
_cell_length_a 4.2286
_cell_length_b 4.2286
_cell_length_c 4.8745
_cell_angle_alpha 90.00
_cell_angle_beta 90.00
_cell_angle_gamma 90.00
_space_group_name_H-M_alt 'P 1'
_space_group_IT_number 1
_space_group_name_Hall 'P 1'
loop_
_atom_site_label
_atom_site_fract_x
_atom_site_fract_y
_atom_site_fract_z
O1 0.5000 0.0000 0.0000
Hf1 0.5000 0.5000 0.5000
O2 0.0000 0.5000 0.0000
K1 0.0000 0.0000 0.0000
P1 0.0000 0.0000 0.5000
# **Fermi-level density of states**: 0.387 states/eV per atom
# **ΔE_f (raw)**: 730 meV/atom
# **E_tot**: -0.1670 Ha/atom
# **Theoretical density**: 5.3 g/cm³
# **SG**: No. 123
# **E above lowest polymorph**: 2.267 eV/atom
# **Crystal system**: tetragonal

***

Entry 8:
# KHfPO2, relaxed, DFT PBE
data_KHfPO2
_cell_length_a 4.1897
_cell_length_b 4.1897
_cell_length_c 5.3258
_cell_angle_alpha 90.00
_cell_angle_beta 90.00
_cell_angle_gamma 90.00
_space_group_name_H-M_alt 'P 1'
_space_group_IT_number 1
_space_group_name_Hall 'P 1'
loop_
_atom_site_label
_atom_site_fract_x
_atom_site_fract_y
_atom_site_fract_z
P1 0.0000 0.0000 0.5000
O1 0.0000 0.5000 0.0000
O2 0.5000 0.0000 0.0000
K1 0.5000 0.5000 0.5000
Hf1 0.0000 0.0000 0.0000
# **Fermi-level density of states**: 0.376 states/eV per atom
# **ΔE_f (raw)**: -1537 meV/atom
# **E_tot**: -0.2504 Ha/atom
# **Theoretical density**: 5.0 g/cm³
# **SG**: No. 123
# **E above lowest polymorph**: 0.000 eV/atom
# **Crystal system**: tetragonal

***

Entry 9:
# K2HfPO, relaxed, DFT PBE
data_K2HfPO
_cell_length_a 7.0954
_cell_length_b 4.8183
_cell_length_c 7.0954
_cell_angle_alpha 90.00
_cell_angle_beta 90.00
_cell_angle_gamma 90.00
_space_group_name_H-M_alt 'P 1'
_space_group_IT_number 1
_space_group_name_Hall 'P 1'
loop_
_atom_site_label
_atom_site_fract_x
_atom_site_fract_y
_atom_site_fract_z
K1 0.5000 0.0000 0.0000
O1 0.5000 0.5000 0.5000
K2 0.0000 0.0000 0.5000
Hf1 0.0000 0.0000 0.0000
P1 0.0000 0.5000 0.0000
# **Fermi-level density of states**: 2.188 states/eV per atom
# **ΔE_f (raw)**: 616 meV/atom
# **E_tot**: -0.1429 Ha/atom
# **Theoretical density**: 2.1 g/cm³
# **SG**: No. 123
# **Crystal system**: tetragonal

***

Entry 10:
# K2YHfP3O12, relaxed, DFT PBE
data_K2YHfP3O12
_cell_length_a 10.4771
_cell_length_b 10.4771
_cell_length_c 10.4771
_cell_angle_alpha 90.00
_cell_angle_beta 90.00
_cell_angle_gamma 90.00
_space_group_name_H-M_alt 'P 1'
_space_group_IT_number 1
_space_group_name_Hall 'P 1'
loop_
_atom_site_label
_atom_site_fract_x
_atom_site_fract_y
_atom_site_fract_z
O1 0.2045 0.9997 0.0278
K1 0.2998 0.2002 0.7998
O2 0.1870 0.7670 0.5843
O3 0.6542 0.9875 0.8892
Hf1 0.6452 0.3548 0.8548
K2 0.7998 0.2998 0.2002
P1 0.7578 0.6201 0.0425
P2 0.6201 0.0425 0.7578
P3 0.0425 0.7578 0.6201
O4 0.0843 0.3130 0.2330
P4 0.5425 0.7422 0.3799
O5 0.0230 0.6616 0.7288
K3 0.5719 0.0719 0.4281
O6 0.4157 0.6870 0.7330
O7 0.9875 0.8892 0.6542
O8 0.7330 0.4157 0.6870
P5 0.9575 0.2578 0.8799
O9 0.1542 0.5125 0.1108
K4 0.4281 0.5719 0.0719
O10 0.9722 0.7045 0.5003
O11 0.4997 0.4722 0.7955
P6 0.4575 0.2422 0.1201
O12 0.9770 0.1616 0.7712
O13 0.5278 0.2955 0.0003
Y1 0.0804 0.5804 0.9196
O14 0.4722 0.7955 0.4997
Hf2 0.1452 0.1452 0.1452
O15 0.8458 0.0125 0.3892
P7 0.1201 0.4575 0.2422
O16 0.6616 0.7288 0.0230
O17 0.5843 0.1870 0.7670
Y2 0.4196 0.4196 0.4196
Y3 0.9196 0.0804 0.5804
O18 0.4875 0.6108 0.3458
O19 0.0125 0.3892 0.8458
O20 0.0278 0.2045 0.9997
O21 0.7955 0.4997 0.4722
P8 0.3799 0.5425 0.7422
O22 0.8892 0.6542 0.9875
O23 0.3384 0.2288 0.4770
K5 0.7002 0.7002 0.7002
O24 0.7288 0.0230 0.6616
Y4 0.5804 0.9196 0.0804
K6 0.9281 0.9281 0.9281
O25 0.3130 0.2330 0.0843
O26 0.1616 0.7712 0.9770
Hf3 0.8548 0.6452 0.3548
O27 0.5125 0.1108 0.1542
O28 0.7712 0.9770 0.1616
P9 0.2422 0.1201 0.4575
O29 0.3892 0.8458 0.0125
P10 0.8799 0.9575 0.2578
O30 0.7045 0.5003 0.9722
O31 0.2712 0.5230 0.8384
O32 0.7670 0.5843 0.1870
O33 0.6870 0.7330 0.4157
O34 0.5003 0.9722 0.7045
O35 0.8130 0.2670 0.9157
O36 0.9997 0.0278 0.2045
O37 0.3458 0.4875 0.6108
Hf4 0.3548 0.8548 0.6452
O38 0.2955 0.0003 0.5278
O39 0.2670 0.9157 0.8130
O40 0.2288 0.4770 0.3384
O41 0.1108 0.1542 0.5125
K7 0.2002 0.7998 0.2998
O42 0.8384 0.2712 0.5230
P11 0.7422 0.3799 0.5425
O43 0.6108 0.3458 0.4875
O44 0.4770 0.3384 0.2288
K8 0.0719 0.4281 0.5719
P12 0.2578 0.8799 0.9575
O45 0.0003 0.5278 0.2955
O46 0.5230 0.8384 0.2712
O47 0.2330 0.0843 0.3130
O48 0.9157 0.8130 0.2670
# **Fermi-level density of states**: 0.000 states/eV per atom
# **ΔE_f (raw)**: -2770 meV/atom
# **E_tot**: -0.2843 Ha/atom
# **Theoretical density**: 3.6 g/cm³
# **SG**: No. 198
# **Crystal system**: cubic

***

Entry 11:
# K2HfPaO6, relaxed, DFT PBE
data_K2HfPaO6
_cell_length_a 6.0430
_cell_length_b 6.0429
_cell_length_c 8.5417
_cell_angle_alpha 90.00
_cell_angle_beta 90.00
_cell_angle_gamma 90.00
_space_group_name_H-M_alt 'P 1'
_space_group_IT_number 1
_space_group_name_Hall 'P 1'
loop_
_atom_site_label
_atom_site_fract_x
_atom_site_fract_y
_atom_site_fract_z
O1 0.5000 0.2500 0.2549
K1 0.5000 0.7500 0.2500
O2 0.2551 0.0048 0.5000
Pa1 0.0000 0.7499 0.5000
O3 0.7450 0.4949 0.5000
K2 0.5000 0.7500 0.7500
O4 0.2450 0.5051 0.0000
Hf1 0.0000 0.7501 0.0000
O5 0.7449 0.0048 0.5000
O6 0.7550 0.5051 0.0000
O7 0.2449 0.9952 0.0000
Pa2 0.5000 0.2501 0.0000
K3 0.0000 0.2500 0.2500
O8 0.2550 0.4949 0.5000
O9 0.0000 0.7500 0.7549
O10 0.5000 0.2500 0.7451
O11 0.0000 0.7500 0.2451
O12 0.7551 0.9952 0.0000
K4 0.0000 0.2500 0.7500
Hf2 0.5000 0.2499 0.5000
# **Fermi-level density of states**: 0.690 states/eV per atom
# **ΔE_f (raw)**: -2838 meV/atom
# **E_tot**: -0.2932 Ha/atom
# **Theoretical density**: 6.2 g/cm³
# **SG**: No. 225
# **Crystal system**: cubic

***

Entry 12:
# KHfPa2O8, relaxed, DFT PBE
data_KHfPa2O8
_cell_length_a 5.1102
_cell_length_b 5.1077
_cell_length_c 7.1967
_cell_angle_alpha 90.00
_cell_angle_beta 90.00
_cell_angle_gamma 87.95
_space_group_name_H-M_alt 'P 1'
_space_group_IT_number 1
_space_group_name_Hall 'P 1'
loop_
_atom_site_label
_atom_site_fract_x
_atom_site_fract_y
_atom_site_fract_z
O1 0.6665 0.6668 0.5000
Pa1 0.5000 0.5000 0.2503
Pa2 0.5000 0.5000 0.7497
K1 0.0000 0.0000 0.5000
Hf1 0.0000 0.0000 0.0000
O2 0.2960 0.2962 0.0000
O3 0.2068 0.7934 0.2054
O4 0.7932 0.2066 0.7946
O5 0.7040 0.7038 0.0000
O6 0.7932 0.2065 0.2054
O7 0.3335 0.3332 0.5000
O8 0.2068 0.7935 0.7946
# **Fermi-level density of states**: 0.665 states/eV per atom
# **ΔE_f (raw)**: -3055 meV/atom
# **E_tot**: -0.3258 Ha/atom
# **Theoretical density**: 7.1 g/cm³
# **SG**: No. 65
# **Crystal system**: orthorhombic